SmHoRh2: optimized geometry, PBE-GGA.

Lattice parameters (Å, degrees): 4.8868 4.8843 4.8867 60.03 59.95 60.03
Sites, in units of the cell vectors:
Sm1 0.2500 0.2500 0.2500
Ho1 0.7500 0.7500 0.7500
Rh1 0.0001 0.9997 0.0001
Rh2 0.4999 0.5003 0.4999

Results
- space-group type = Fm-3m
- raw total energy (eV per atom) = -6.808
- energy relative to the elements (eV/atom) = -0.808
- density of states at the Fermi level (states/eV per atom) = 0.6643